Compound: Li2MgCr
Source: the Alexandria database
Functional: SCAN
Structure: PBEsol geometry

Structure (extended XYZ):
```
4
Lattice="-0.5718 -2.0271 -2.0464 4.5478 0.4602 -1.7265 1.6689 -3.3640 3.4993" Properties=species:S:1:pos:R:3 pbc="T T T"
Mg 1.9880 -0.7834 -1.8864
Cr 3.1083 -1.4519 0.8864
Li 0.7948 -4.0285 1.0199
Li 0.3023 -1.3625 0.4331
```

Summary:
electronic total energy: -27.48 eV/f.u.
symmetry: P2/m
total magnetization: 4.46 μB per formula unit
energy relative to the elements: 0.163 eV per atom
crystal system: monoclinic
Fermi-level density of states: 1.5 states/eV per cell